# 1
Below is a relaxed structure of BeSbRh, with properties calculated at the GGA-PBE level.

Unit cell a=4.1912 b=4.1912 c=4.1912 alpha=60.00 beta=60.00 gamma=60.00
Closest atoms and distances in Å follow each position.
Positions (direct):
Be  0.5000  0.5000  0.5000  4 Rh 2.57
Rh  0.7500  0.7500  0.7500  4 Sb 2.57, 4 Be 2.57
Sb  0.0000  0.0000  0.0000  4 Rh 2.57

Summary:
VASP energy in eV per atom: -5.247
Energy above the lowest structure with this stoichiometry in meV per atom: 0

# 2
Below is a relaxed structure of BeSbRh2, with properties calculated at the GGA-PBE level.

Unit cell a=4.9799 b=4.9799 c=4.9799 alpha=136.16 beta=136.16 gamma=63.73
Closest atoms and distances in Å follow each position.
Positions (direct):
Sb  0.5000  0.5000  0.0000  8 Rh 2.63-2.82, 4 Be 2.82
Rh  0.2500  0.7500  0.5000  4 Be 2.63, 4 Sb 2.82, 4 Rh 2.82
Rh  0.0000  0.0000  0.0000  4 Sb 2.63, 4 Be 2.82, 4 Rh 2.82
Be  0.7500  0.2500  0.5000  8 Rh 2.63-2.82, 4 Sb 2.82

Summary:
VASP energy in eV per atom: -5.817
Energy above the lowest structure with this stoichiometry in meV per atom: 165

# 3
Below is a relaxed structure of BeSbRh2, with properties calculated at the GGA-PBE level.

Unit cell a=4.4703 b=4.4703 c=4.4703 alpha=125.04 beta=125.04 gamma=81.47
Closest atoms and distances in Å follow each position.
Positions (direct):
Be  0.7500  0.2500  0.5000  8 Rh 2.67, 4 Sb 2.92
Rh  0.5000  0.5000  0.0000  4 Sb 2.67, 4 Be 2.67, 4 Rh 2.92
Rh  0.0000  0.0000  0.0000  4 Be 2.67, 4 Sb 2.67, 4 Rh 2.92
Sb  0.2500  0.7500  0.5000  8 Rh 2.67, 4 Be 2.92

Summary:
VASP energy in eV per atom: -5.982
Energy above the lowest structure with this stoichiometry in meV per atom: 0

# 4
Below is a relaxed structure of BeSbRh2, with properties calculated at the GGA-PBE level.

Unit cell a=4.3809 b=4.3809 c=4.3809 alpha=60.00 beta=60.00 gamma=60.00
Closest atoms and distances in Å follow each position.
Positions (direct):
Rh  0.0000  0.0000  0.0000  4 Sb 2.68, 4 Rh 2.68
Rh  0.2500  0.2500  0.2500  4 Rh 2.68, 4 Be 2.68
Be  0.5000  0.5000  0.5000  4 Rh 2.68, 4 Sb 2.68
Sb  0.7500  0.7500  0.7500  4 Be 2.68, 4 Rh 2.68

Summary:
VASP energy in eV per atom: -5.583
Energy above the lowest structure with this stoichiometry in meV per atom: 399

# 5
Below is a relaxed structure of BeSbRh, with properties calculated at the GGA-PBE level.

Unit cell a=3.1239 b=3.1239 c=5.7510 alpha=90.00 beta=90.00 gamma=120.00
Closest atoms and distances in Å follow each position.
Positions (direct):
Sb  0.3333  0.6667  0.6600  3 Rh 2.75, 3 Be 2.84
Be  0.0000  0.0000  0.0406  3 Rh 2.34
Rh  0.6667  0.3333  0.2994  3 Be 2.34

Summary:
VASP energy in eV per atom: -5.005
Energy above the lowest structure with this stoichiometry in meV per atom: 242

# 6
Below is a relaxed structure of BeSbRh2, with properties calculated at the GGA-PBE level.

Unit cell a=3.4895 b=4.0713 c=4.0713 alpha=90.00 beta=90.00 gamma=90.00
Closest atoms and distances in Å follow each position.
Positions (direct):
Sb  0.5000  0.5000  0.0000  8 Rh 2.68, 4 Be 2.88
Rh  0.0000  0.0000  0.0000  4 Sb 2.68, 4 Be 2.68, 4 Rh 2.88
Rh  0.0000  0.5000  0.5000  4 Sb 2.68, 4 Be 2.68, 4 Rh 2.88
Be  0.5000  0.0000  0.5000  8 Rh 2.68, 4 Sb 2.88

Summary:
VASP energy in eV per atom: -5.942
Energy above the lowest structure with this stoichiometry in meV per atom: 40

# 7
Below is a relaxed structure of BeSbRh3, with properties calculated at the GGA-PBE level.

Unit cell a=4.1975 b=4.1975 c=4.1975 alpha=90.00 beta=90.00 gamma=90.00
Closest atoms and distances in Å follow each position.
Positions (direct):
Rh  0.0000  0.5000  0.0000  2 Be 2.10
Rh  0.0000  0.0000  0.5000  2 Be 2.10
Rh  0.5000  0.0000  0.0000  2 Be 2.10
Be  0.0000  0.0000  0.0000  6 Rh 2.10
Sb  0.5000  0.5000  0.5000  12 Rh 2.97

Summary:
VASP energy in eV per atom: -6.072
Energy above the lowest structure with this stoichiometry in meV per atom: 0

# 8
Below is a relaxed structure of BeSbRh2, with properties calculated at the GGA-PBE level.

Unit cell a=3.2080 b=3.2081 c=5.9264 alpha=90.00 beta=90.00 gamma=89.97
Closest atoms and distances in Å follow each position.
Positions (direct):
Be  0.5000  0.5000  0.8452  5 Rh 2.31-2.40
Rh  0.5000  0.5000  0.2498  1 Be 2.40, 4 Sb 2.65
Rh  0.0000  0.0000  0.9231  4 Be 2.31-2.32
Sb  0.0000  0.0000  0.4819  5 Rh 2.61-2.65

Summary:
VASP energy in eV per atom: -5.879
Energy above the lowest structure with this stoichiometry in meV per atom: 103

# 9
Below is a relaxed structure of BeSbRh2, with properties calculated at the GGA-PBE level.

Unit cell a=4.7748 b=4.7748 c=4.4487 alpha=74.97 beta=74.97 gamma=37.40
Closest atoms and distances in Å follow each position.
Positions (direct):
Be  0.2608  0.2608  0.1385  5 Rh 2.43-2.62
Rh  0.9788  0.9788  0.0893  3 Be 2.46-2.62, 2 Sb 2.63
Rh  0.7557  0.7557  0.7184  2 Be 2.43, 3 Sb 2.57-2.66
Sb  0.5047  0.5047  0.5537  7 Rh 2.57-2.79

Summary:
VASP energy in eV per atom: -5.925
Energy above the lowest structure with this stoichiometry in meV per atom: 57

# 10
Below is a relaxed structure of BeSbRh, with properties calculated at the GGA-PBE level.

Unit cell a=4.0022 b=4.0022 c=3.4449 alpha=90.00 beta=90.00 gamma=120.00
Closest atoms and distances in Å follow each position.
Positions (direct):
Rh  0.6667  0.3333  0.1666  3 Be 2.31
Be  0.0000  0.0000  0.1667  3 Rh 2.31
Sb  0.3333  0.6667  0.6668  6 Rh 2.88, 6 Be 2.88

Summary:
VASP energy in eV per atom: -5.154
Energy above the lowest structure with this stoichiometry in meV per atom: 93

# 11
Below is a relaxed structure of BeSbRh2, with properties calculated at the GGA-PBE level.

Unit cell a=6.9968 b=6.9968 c=6.9968 alpha=26.44 beta=26.44 gamma=26.44
Closest atoms and distances in Å follow each position.
Positions (direct):
Rh  0.4831  0.4831  0.4831  3 Be 2.29
Rh  0.0169  0.0169  0.0169  3 Be 2.29
Be  0.7500  0.7500  0.7500  6 Rh 2.29
Sb  0.2500  0.2500  0.2500  6 Rh 2.74

Summary:
VASP energy in eV per atom: -5.852
Energy above the lowest structure with this stoichiometry in meV per atom: 130

# 12
Below is a relaxed structure of BeSbRh2, with properties calculated at the GGA-PBE level.

Unit cell a=4.3403 b=4.3403 c=4.3403 alpha=60.00 beta=60.00 gamma=60.00
Closest atoms and distances in Å follow each position.
Positions (direct):
Be  0.0000  0.0000  0.0000  8 Rh 2.66
Rh  0.2500  0.2500  0.2500  4 Sb 2.66, 4 Be 2.66
Rh  0.7500  0.7500  0.7500  4 Sb 2.66, 4 Be 2.66
Sb  0.5000  0.5000  0.5000  8 Rh 2.66

Summary:
VASP energy in eV per atom: -5.950
Energy above the lowest structure with this stoichiometry in meV per atom: 32

# 13
Below is a relaxed structure of BeSbRh2, with properties calculated at the GGA-PBE level.

Unit cell a=4.2005 b=3.0315 c=4.7837 alpha=83.14 beta=90.00 gamma=90.00
Closest atoms and distances in Å follow each position.
Positions (direct):
Rh  0.0000  0.0414  0.8803  2 Be 2.35, 2 Sb 2.62-2.63
Rh  0.5000  0.1448  0.2905  2 Be 2.34-2.45
Sb  0.0000  0.6236  0.4283  7 Rh 2.62-2.77
Be  0.5000  0.6903  0.9008  4 Rh 2.34-2.45

Summary:
VASP energy in eV per atom: -5.864
Energy above the lowest structure with this stoichiometry in meV per atom: 118

# 14
Below is a relaxed structure of Be4SbRh, with properties calculated at the GGA-PBE level.

Unit cell a=4.5943 b=4.5943 c=4.5943 alpha=60.00 beta=60.00 gamma=60.00
Closest atoms and distances in Å follow each position.
Positions (direct):
Rh  0.2500  0.2500  0.2500  12 Be 2.69, 4 Sb 2.81
Be  0.6213  0.6213  0.1362  6 Be 2.23-2.37
Be  0.6213  0.1362  0.6213  6 Be 2.23-2.37
Be  0.6213  0.6213  0.6213  6 Be 2.23-2.37
Be  0.1362  0.6213  0.6213  6 Be 2.23-2.37
Sb  0.0000  0.0000  0.0000  12 Be 2.70, 4 Rh 2.81

Summary:
VASP energy in eV per atom: -4.440

# 15
Below is a relaxed structure of BeSb2RhSe, with properties calculated at the GGA-PBE level.

Unit cell a=5.4590 b=3.8538 c=5.4590 alpha=90.00 beta=90.00 gamma=90.00
Closest atoms and distances in Å follow each position.
Positions (direct):
Sb  0.0000  0.0000  0.5000  2 Se 2.73
Sb  0.5000  0.0000  0.0000  2 Se 2.73
Be  0.0000  0.5000  0.0000  2 Se 1.93
Rh  0.5000  0.5000  0.5000  8 Sb 3.34
Se  0.0000  0.0000  0.0000  2 Be 1.93

Summary:
VASP energy in eV per atom: -3.718

| no. | D(E_F) (states/eV per atom) | raw formation energy (kJ/mol of formula units) |
| --- | --- | --- |
| 1 | 0.67 | -52.2 |
| 2 | 0.67 | -69.0 |
| 3 | 0.34 | -132.8 |
| 4 | 0.96 | 21.4 |
| 5 | 0.54 | 17.8 |
| 6 | 0.35 | -117.3 |
| 7 | 0.53 | -44.2 |
| 8 | 0.75 | -92.9 |
| 9 | 0.54 | -110.7 |
| 10 | 0.51 | -25.2 |
| 11 | 0.56 | -82.6 |
| 12 | 1.11 | -120.4 |
| 13 | 0.45 | -87.3 |
| 14 | 0.16 | -25.4 |
| 15 | 0.89 | 407.0 |